# PBE-GGA SmYF6, relaxed
# Calculated volume = 112 Å³/f.u.
# Spin magnetization = 0.000 μB/atom
# Crystal system = monoclinic
# Formation energy without anion corrections = -4.0590 eV/atom
data_SmYF6
_cell_length_a 6.046
_cell_length_b 4.488
_cell_length_c 4.488
_cell_angle_alpha 68.76
_cell_angle_beta 94.66
_cell_angle_gamma 85.34
_space_group_name_H-M_alt 'P 1'
_space_group_IT_number 1
loop_
_space_group_symop_operation_xyz
'x,y,z'
loop_
_atom_site_label
_atom_site_fract_x
_atom_site_fract_y
_atom_site_fract_z
_atom_site_occupancy
F1 0.863 0.824 0.275 1
F2 0.137 0.275 0.824 1
F3 0.263 0.945 0.482 1
F4 0.340 0.622 0.111 1
F5 0.660 0.111 0.622 1
F6 0.737 0.482 0.945 1
Sm1 0.500 0.114 0.114 1
Y1 0.000 0.793 0.793 1

# PBE-GGA SmY3F, relaxed
# Calculated volume = 132 Å³/f.u.
# Spin magnetization = 0.000 μB/atom
# Crystal system = cubic
# Formation energy without anion corrections = -0.9150 eV/atom
data_SmY3F
_cell_length_a 5.089
_cell_length_b 5.089
_cell_length_c 5.089
_cell_angle_alpha 90.00
_cell_angle_beta 90.00
_cell_angle_gamma 90.00
_space_group_name_H-M_alt 'P 1'
_space_group_IT_number 1
loop_
_space_group_symop_operation_xyz
'x,y,z'
loop_
_atom_site_label
_atom_site_fract_x
_atom_site_fract_y
_atom_site_fract_z
_atom_site_occupancy
Sm1 0.500 0.500 0.500 1
Y1 0.000 0.500 0.000 1
F1 0.000 0.000 0.000 1
Y2 0.500 0.000 0.000 1
Y3 0.000 0.000 0.500 1

# PBE-GGA Sm3YF, relaxed
# Calculated volume = 135 Å³/f.u.
# Spin magnetization = 0.000 μB/atom
# Crystal system = cubic
# Formation energy without anion corrections = -0.9669 eV/atom
data_Sm3YF
_cell_length_a 5.129
_cell_length_b 5.129
_cell_length_c 5.129
_cell_angle_alpha 90.00
_cell_angle_beta 90.00
_cell_angle_gamma 90.00
_space_group_name_H-M_alt 'P 1'
_space_group_IT_number 1
loop_
_space_group_symop_operation_xyz
'x,y,z'
loop_
_atom_site_label
_atom_site_fract_x
_atom_site_fract_y
_atom_site_fract_z
_atom_site_occupancy
Sm1 0.500 0.000 0.000 1
Sm2 0.000 0.500 0.000 1
Y1 0.500 0.500 0.500 1
Sm3 0.000 0.000 0.500 1
F1 0.000 0.000 0.000 1

Q: spin magnetization of number 2 (SmY3F)?
A: 0.000 μB/atom

Q: What is the spin magnetization in the first record?
A: 0.000 μB/atom

Q: calculated volume of number 2 (SmY3F)?
A: 132 Å³/f.u.